A relaxed CsV3Se2O12 crystal. Source: Alexandria via LeMat-Bulk, functional GGA+U.

As for the energy: -6.5074 eV per atom. The calculation puts the volume at 15.3 Å³/atom.

```
data_CsV3Se2O12
_cell_length_a 7.186
_cell_length_b 7.186
_cell_length_c 12.287
_cell_angle_alpha 90.00
_cell_angle_beta 90.00
_cell_angle_gamma 120.00
_symmetry_space_group_name_H-M 'P 1'
_symmetry_Int_Tables_number 1
_symmetry_space_group_name_Hall 'P 1'
loop_
_atom_site_label
_atom_site_fract_x
_atom_site_fract_y
_atom_site_fract_z
Cs1 0.667 0.333 0.472
Cs2 0.333 0.667 0.972
V1 0.873 0.667 0.794
V2 0.794 0.127 0.794
V3 0.667 0.794 0.294
V4 0.127 0.333 0.294
V5 0.333 0.206 0.794
V6 0.206 0.873 0.294
Se1 0.000 0.000 0.583
Se2 0.667 0.333 0.009
Se3 0.333 0.667 0.509
Se4 0.000 0.000 0.083
O1 0.249 0.124 0.323
O2 0.126 0.249 0.823
O3 0.124 0.874 0.823
O4 0.876 0.126 0.323
O5 0.874 0.751 0.323
O6 0.751 0.876 0.823
O7 0.458 0.916 0.271
O8 0.541 0.458 0.771
O9 0.916 0.459 0.771
O10 0.084 0.541 0.271
O11 0.459 0.542 0.271
O12 0.542 0.084 0.771
O13 0.799 0.211 0.951
O14 0.587 0.799 0.451
O15 0.211 0.413 0.451
O16 0.789 0.587 0.951
O17 0.413 0.201 0.951
O18 0.201 0.789 0.451
O19 0.878 0.131 0.642
O20 0.747 0.878 0.142
O21 0.131 0.253 0.142
O22 0.869 0.747 0.642
O23 0.253 0.122 0.642
O24 0.122 0.869 0.142
```